In2CoSi | PBE | relaxed

Geometry as POSCAR:
```
In2CoSi
1.0
-2.059 2.059 4.250
2.059 -2.059 4.250
2.059 2.059 -4.250
In Co Si
2 1 1
Direct
0.000 0.000 0.000 In
0.750 0.250 0.500 In
0.500 0.500 0.000 Co
0.250 0.750 0.500 Si
```

## Properties
- Uncorrected energy: -4.044 eV/atom
- Uncorrected formation energy: 457 meV per atom
- Crystal system: tetragonal
- SG: I-4m2 (119)
- Magnetization: 1.15 μB per formula unit


InCoSi2 | PBE | relaxed

Geometry as POSCAR:
```
InCoSi2
1.0
2.540 -3.616 0.000
2.540 3.616 0.000
0.000 0.000 3.455
In Co Si
1 1 2
Direct
0.000 0.000 0.000 In
0.500 0.500 0.000 Co
0.000 0.500 0.500 Si
0.500 0.000 0.500 Si
```

## Properties
- Uncorrected energy: -4.700 eV/atom
- Uncorrected formation energy: 472 meV per atom
- Crystal system: orthorhombic
- SG: Cmmm (65)
- Magnetization: 0.00 μB per formula unit